Entry 1:
TaCl | PBE | relaxed

Crystal system: triclinic
Uncorrected formation energy, eV/atom: -0.7198

The structure in extended XYZ format:
```
4
Lattice="-2.0297 2.2499 -1.3928 -0.7077 -3.0350 0.1230 -1.8626 4.1025 9.2938" Properties=species:S:1:pos:R:3 pbc="T T T"
Cl -3.6324 2.5374 5.3771
Cl -0.9675 0.7800 2.6469
Ta -3.2918 4.0839 7.3228
Ta -1.3081 -0.7664 0.7012
```



Entry 2:
La2PrSi | PBE | relaxed

Crystal system: trigonal
Energy relative to the lowest polymorph listed for this composition, meV/atom: 362.2
Uncorrected formation energy, eV/atom: -0.0228

The structure in extended XYZ format:
```
4
Lattice="-2.2285 0.6000 -3.2660 -3.6573 -1.5987 -0.2466 -6.0886 8.4250 3.2540" Properties=species:S:1:pos:R:3 pbc="T T T"
Pr 0.0000 0.0000 0.0000
Si -5.9872 3.7132 -0.1293
La -4.7140 5.5078 1.7801
La -7.2605 1.9186 -2.0386
```



Entry 3:
Mg2SbPd6 | PBE | relaxed

Crystal system: monoclinic
Uncorrected formation energy, eV/atom: -0.3297

The structure in extended XYZ format:
```
9
Lattice="4.3187 0.0000 -0.1864 0.0000 5.9995 0.0000 -1.9463 -2.9998 6.5020" Properties=species:S:1:pos:R:3 pbc="T T T"
Mg 2.2555 2.9998 2.0838
Mg 0.1169 0.0000 4.2318
Sb 0.0000 0.0000 0.0000
Pd 0.0900 1.5285 2.1286
Pd 2.2823 -1.4713 4.1870
Pd 2.2823 1.4713 4.1870
Pd 2.1593 1.5276 -0.0932
Pd 0.0900 4.4711 2.1286
Pd 2.1593 4.4719 -0.0932
```



Entry 4:
ZrAs2Pt | PBE | relaxed

Calculated formation energy, meV per atom: -226
Crystal system: tetragonal

The structure in extended XYZ format:
```
8
Lattice="-0.3351 2.6684 -5.4383 -5.6179 -2.1742 -0.7206 -4.9983 4.7049 -0.7676" Properties=species:S:1:pos:R:3 pbc="T T T"
As -2.1705 2.6462 -3.8317
As -4.7933 0.0769 -1.1712
As -5.8253 3.7743 -2.8653
As -9.1134 3.9008 -5.9847
Zr -2.9765 0.2471 -3.0794
Zr -6.7963 1.3889 -2.2838
Pt 0.0000 0.0000 0.0000
Pt -4.1549 3.8102 -4.6426
```



Entry 5:
CeSmC2 | PBE | relaxed

Calculated formation energy, meV per atom: 57
Crystal system: trigonal

The structure in extended XYZ format:
```
4
Lattice="-0.0158 2.4327 2.7642 1.4003 -0.9275 3.2769 5.8306 2.5008 0.2852" Properties=species:S:1:pos:R:3 pbc="T T T"
C 1.7162 0.9689 1.6098
C 5.4988 3.0371 4.7165
Ce 0.0000 0.0000 0.0000
Sm 3.6075 2.0030 3.1631
```



Entry 6:
CePuH6 | PBE | relaxed

Crystal system: tetragonal
DFT total energy, eV/atom: -5.3506

The structure in extended XYZ format:
```
8
Lattice="3.3555 0.0000 0.0000 0.0000 3.3555 0.0000 0.0000 0.0000 6.6549" Properties=species:S:1:pos:R:3 pbc="T T T"
Ce 0.0000 0.0000 0.0000
Pu 0.0000 0.0000 3.3274
H 1.6777 1.6777 0.0000
H 1.6777 1.6777 3.3274
H 1.6777 0.0000 1.6954
H 1.6777 0.0000 4.9595
H 0.0000 1.6777 1.6954
H 0.0000 1.6777 4.9595
```



Total moment (μB/atom)
0.000; 0.002; 0.000; 0.000; 0.000; 0.750